Here is crystalline RbVIr2F at its relaxed geometry from Alexandria. Energies are from GGA+U.

Calculated values
Total moment, μB/f.u.: 2.9
E_tot, eV/atom: -4.46

a = 4.4713 Å, b = 4.4713 Å, c = 4.8162 Å
α = 90.00°, β = 90.00°, γ = 90.00°
Fractional coordinates of all 5 atoms:
Rb (0.0000, 0.0000, 0.0000)
V (0.5000, 0.5000, 0.0000)
Ir (0.0000, 0.5000, 0.5000)
Ir (0.5000, 0.0000, 0.5000)
F (0.0000, 0.0000, 0.5000)